DFT (GGA-PBE) results for a relaxed Sm8Th crystal.

Geometry as POSCAR:
```
Sm8Th
1.0
-5.430 5.430 2.571
5.430 -5.430 2.571
5.430 5.430 -2.571
Sm Th
8 1
Direct
0.000 0.331 0.331
0.000 0.669 0.669
0.331 0.000 0.331
0.337 0.337 0.674
0.337 0.663 0.000
0.663 0.337 0.000
0.663 0.663 0.326
0.669 0.000 0.669
0.000 0.000 0.000
```

Results
DOS at the Fermi energy = 13.4 states/eV per cell
Mass density = 7.86 g/cm3
ΔE_f = 0.030 eV/atom
E_tot = -4.99 eV per atom

***

DFT (GGA-PBE) results for a relaxed SmCo2P2 crystal.

Geometry as POSCAR:
```
SmCo2P2
1.0
-1.937 1.937 4.803
1.937 -1.937 4.803
1.937 1.937 -4.803
Sm Co P
1 2 2
Direct
0.000 0.000 0.000
0.250 0.750 0.500
0.750 0.250 0.500
0.369 0.369 0.000
0.631 0.631 0.000
```

Results
DOS at the Fermi energy = 2.3 states/eV per cell
Mass density = 7.61 g/cm3
ΔE_f = -0.999 eV/atom
E_tot = -6.95 eV per atom

***

DFT (GGA-PBE) results for a relaxed EuNbO3 crystal.

Geometry as POSCAR:
```
EuNbO3
1.0
4.083 0.000 0.000
0.000 4.083 0.000
0.000 0.000 4.083
Eu Nb O
1 1 3
Direct
0.000 0.000 0.000
0.500 0.500 0.495
0.000 0.500 0.494
0.500 0.000 0.494
0.500 0.500 0.995
```

Results
DOS at the Fermi energy = 1.5 states/eV per cell
E_form (uncorrected) = -2.71 eV/atom
Mass density = 7.15 g/cm3
E_tot = -9.76 eV per atom

***

DFT (GGA-PBE) results for a relaxed UAlSi2 crystal.

Geometry as POSCAR:
```
UAlSi2
1.0
4.186 0.000 0.000
0.000 4.186 0.000
0.000 0.000 3.899
U Al Si
1 1 2
Direct
0.000 0.000 0.000
0.500 0.500 0.000
0.000 0.500 0.500
0.500 0.000 0.500
```

Results
DOS at the Fermi energy = 3.8 states/eV per cell
E_form (uncorrected) = -0.34 eV/atom
Mass density = 7.81 g/cm3
E_tot = -6.80 eV per atom

***

DFT (GGA-PBE) results for a relaxed YMnTe crystal.

Geometry as POSCAR:
```
YMnTe
1.0
4.468 0.000 0.000
-2.234 3.869 0.000
0.000 0.000 3.887
Y Mn Te
1 1 1
Direct
0.000 0.000 0.000
0.667 0.333 0.500
0.333 0.667 0.500
```

Results
DOS at the Fermi energy = 3.2 states/eV per cell
E_form (uncorrected) = -0.39 eV/atom
Mass density = 6.71 g/cm3
E_tot = -6.65 eV per atom

***

DFT (GGA-PBE) results for a relaxed Mg2ZrCd crystal.

Geometry as POSCAR:
```
Mg2ZrCd
1.0
3.016 0.000 0.000
0.000 4.517 0.000
0.000 0.000 6.409
Mg Zr Cd
2 1 1
Direct
0.000 0.000 0.000
0.500 0.500 0.248
0.000 0.000 0.502
0.500 0.500 0.745
```

Results
DOS at the Fermi energy = 2.5 states/eV per cell
Mass density = 4.80 g/cm3
ΔE_f = -0.011 eV/atom
E_tot = -3.17 eV per atom

***

DFT (GGA-PBE) results for a relaxed Ac2LaTl3Te6 crystal.

Geometry as POSCAR:
```
Ac2LaTl3Te6
1.0
4.128 -7.149 0.000
4.128 7.149 0.000
-2.751 0.000 8.148
Ac La Tl Te
2 1 3 6
Direct
0.166 0.834 0.000
0.834 0.166 0.000
0.500 0.500 0.000
0.000 0.000 0.500
0.332 0.668 0.500
0.668 0.332 0.500
0.099 0.425 0.774
0.250 0.250 0.227
0.425 0.099 0.774
0.575 0.901 0.226
0.750 0.750 0.773
0.901 0.575 0.226
```

Results
E_form (uncorrected) = -1.15 eV/atom
Mass density = 6.81 g/cm3
E_tot = -4.41 eV per atom

***

DFT (GGA-PBE) results for a relaxed Tl2Pb6Au crystal.

Geometry as POSCAR:
```
Tl2Pb6Au
1.0
8.357 -3.724 0.000
8.357 3.724 0.000
-1.459 0.000 4.782
Tl Pb Au
2 6 1
Direct
0.169 0.169 0.164
0.831 0.831 0.836
0.112 0.575 0.347
0.260 0.740 0.000
0.425 0.888 0.653
0.575 0.112 0.347
0.740 0.260 0.000
0.888 0.425 0.653
0.500 0.500 0.500
```

Results
DOS at the Fermi energy = 4.3 states/eV per cell
Mass density = 10.32 g/cm3
ΔE_f = 0.080 eV/atom
E_tot = -3.28 eV per atom

***

DFT (GGA-PBE) results for a relaxed MgCo2PtN crystal.

Geometry as POSCAR:
```
MgCo2PtN
1.0
3.748 0.000 0.000
0.000 3.748 0.000
0.000 0.000 4.235
Mg Co Pt N
1 2 1 1
Direct
0.000 0.000 0.000
0.000 0.500 0.500
0.500 0.000 0.500
0.500 0.500 0.000
0.000 0.000 0.500
```

Results
DOS at the Fermi energy = 3.1 states/eV per cell
E_form (uncorrected) = -0.23 eV/atom
Mass density = 9.80 g/cm3
E_tot = -6.27 eV per atom

***

DFT (GGA-PBE) results for a relaxed Na2CrSiRh crystal.

Geometry as POSCAR:
```
Na2CrSiRh
1.0
5.281 0.000 0.000
0.000 5.281 0.000
0.000 0.000 4.416
Na Cr Si Rh
2 1 1 1
Direct
0.000 0.500 0.000
0.500 0.000 0.000
0.000 0.000 0.500
0.500 0.500 0.000
0.500 0.500 0.500
```

Results
DOS at the Fermi energy = 2.2 states/eV per cell
E_form (uncorrected) = 0.68 eV/atom
Mass density = 3.09 g/cm3
E_tot = -4.32 eV per atom

***

DFT (GGA-PBE) results for a relaxed NaScIr4 crystal.

Geometry as POSCAR:
```
NaScIr4
1.0
0.000 3.709 3.709
3.709 0.000 3.709
3.709 3.709 0.000
Na Sc Ir
1 1 4
Direct
0.000 0.000 0.000
0.750 0.750 0.750
0.375 0.375 0.375
0.375 0.375 0.875
0.375 0.875 0.375
0.875 0.375 0.375
```

Results
DOS at the Fermi energy = 6.0 states/eV per cell
Mass density = 13.61 g/cm3
ΔE_f = -0.288 eV/atom
E_tot = -7.47 eV per atom

***

DFT (GGA-PBE) results for a relaxed Ba3C crystal.

Geometry as POSCAR:
```
Ba3C
1.0
4.156 0.000 0.000
-2.078 3.599 0.000
0.000 0.000 11.300
Ba C
3 1
Direct
0.000 0.000 0.000
0.333 0.667 0.355
0.333 0.667 0.645
0.000 0.000 0.500
```

Results
DOS at the Fermi energy = 4.1 states/eV per cell
Mass density = 4.17 g/cm3
ΔE_f = 0.574 eV/atom
E_tot = -3.17 eV per atom